# 1
# Zr2ScNi9 (GGA-PBE, relaxed)
# DFT formation energy = -0.41 eV per atom
# polymorph energy (0 for the lowest one) = 29 meV per atom
# calculated total energy = -241.2 eV for the cell shown
# D(E_F) = 1.148 states/eV/atom
# size of the total moment = 0.000 μB per formula unit
data_Zr2ScNi9
_cell_length_a 4.8402
_cell_length_b 4.8402
_cell_length_c 23.8367
_cell_angle_alpha 90.00
_cell_angle_beta 90.00
_cell_angle_gamma 120.00
_symmetry_space_group_name_H-M 'R -3 m'
_symmetry_Int_Tables_number 166
_symmetry_space_group_name_Hall '-R 3 2"'
loop_
_atom_site_label
_atom_site_fract_x
_atom_site_fract_y
_atom_site_fract_z
Zr1 0.0000 0.0000 0.1377
Sc1 0.0000 0.0000 0.0000
Ni1 0.0000 0.0000 0.3337
Ni2 0.0000 0.0000 0.5000
Ni3 0.0036 0.5018 0.9160

# 2
# ZrSc5Ni6 (GGA-PBE, relaxed)
# DFT formation energy = -0.48 eV per atom
# calculated total energy = -161.3 eV for the cell shown
# D(E_F) = 0.912 states/eV/atom
# size of the total moment = 0.000 μB per formula unit
data_ZrSc5Ni6
_cell_length_a 4.5185
_cell_length_b 13.5350
_cell_length_c 6.3130
_cell_angle_alpha 90.00
_cell_angle_beta 90.00
_cell_angle_gamma 90.00
_symmetry_space_group_name_H-M 'C m m m'
_symmetry_Int_Tables_number 65
_symmetry_space_group_name_Hall '-C 2 2'
loop_
_atom_site_label
_atom_site_fract_x
_atom_site_fract_y
_atom_site_fract_z
Zr1 0.0000 0.0000 0.0000
Sc1 0.0000 0.0000 0.5000
Sc2 0.0000 0.3311 0.0000
Sc3 0.0000 0.3332 0.5000
Ni1 0.0000 0.1636 0.2499
Ni2 0.0000 0.5000 0.2409

# 3
# Zr2ScNi2 (GGA-PBE, relaxed)
# DFT formation energy = -0.01 eV per atom
# polymorph energy (0 for the lowest one) = 350 meV per atom
# calculated total energy = -70.1 eV for the cell shown
# D(E_F) = 1.906 states/eV/atom
# size of the total moment = 0.000 μB per formula unit
data_Zr2ScNi2
_cell_length_a 3.3312
_cell_length_b 3.3312
_cell_length_c 17.5662
_cell_angle_alpha 90.00
_cell_angle_beta 90.00
_cell_angle_gamma 90.00
_symmetry_space_group_name_H-M 'I 4/m m m'
_symmetry_Int_Tables_number 139
_symmetry_space_group_name_Hall '-I 4 2'
loop_
_atom_site_label
_atom_site_fract_x
_atom_site_fract_y
_atom_site_fract_z
Zr1 0.0000 0.0000 0.1310
Sc1 0.0000 0.0000 0.5000
Ni1 0.0000 0.5000 0.2500